The following is a PBE-GGA calculation of a relaxed structure of CePm12Y7, from Alexandria via LeMat-Bulk.

Properties
E above lowest polymorph (eV per formula unit): 4.14

Cell: 6.8262 11.0807 11.0807 Å, 64.10 78.15 101.85°
Last column: nearest neighbours and their distance in Å.
Sites, in units of the cell vectors:
Ce 0.0000 0.0000 0.0000  8 Y 3.19-3.41
Pm 0.7300 0.4786 0.0648  2 Y 3.23-3.36, 5 Pm 3.23-3.52
Pm 0.2052 0.9352 0.5434  2 Y 3.23-3.36, 5 Pm 3.23-3.52
Pm 0.2900 0.2145 0.2122  4 Pm 3.23-3.50, 2 Y 3.47-3.56
Pm 0.4978 0.7878 0.4266  4 Pm 3.23-3.50, 2 Y 3.47-3.56
Pm 0.7485 0.5434 0.5214  2 Y 3.23-3.36, 5 Pm 3.23-3.52
Pm 0.9244 0.4266 0.7855  4 Pm 3.23-3.50, 2 Y 3.47-3.56
Pm 0.0756 0.5734 0.2145  4 Pm 3.23-3.50, 2 Y 3.47-3.56
Pm 0.2515 0.4566 0.4786  2 Y 3.23-3.36, 5 Pm 3.23-3.52
Pm 0.5022 0.2122 0.5734  4 Pm 3.23-3.50, 2 Y 3.47-3.56
Pm 0.7100 0.7855 0.7878  4 Pm 3.23-3.50, 2 Y 3.47-3.56
Pm 0.7948 0.0648 0.4566  2 Y 3.23-3.36, 5 Pm 3.23-3.52
Pm 0.2700 0.5214 0.9352  2 Y 3.23-3.36, 5 Pm 3.23-3.52
Y 0.7895 0.1630 0.1372  1 Ce 3.19, 4 Pm 3.23-3.56, 1 Y 3.41
Y 0.0733 0.8628 0.3002  1 Ce 3.19, 4 Pm 3.23-3.56, 1 Y 3.41
Y 0.3735 0.3002 0.8370  1 Ce 3.19, 4 Pm 3.23-3.56, 1 Y 3.41
Y 0.5000 0.0000 0.0000  6 Y 3.41, 2 Ce 3.41
Y 0.6265 0.6998 0.1630  1 Ce 3.19, 4 Pm 3.23-3.56, 1 Y 3.41
Y 0.9267 0.1372 0.6998  1 Ce 3.19, 4 Pm 3.23-3.56, 1 Y 3.41
Y 0.2105 0.8370 0.8628  1 Ce 3.19, 4 Pm 3.23-3.56, 1 Y 3.41

=====

The following is a PBE-GGA calculation of a relaxed structure of CePmY3, from Alexandria via LeMat-Bulk.

Properties
E above lowest polymorph (eV per formula unit): 0.04

Cell: 6.3213 9.6058 8.4925 Å, 118.99 111.83 108.90°
Last column: nearest neighbours and their distance in Å.
Sites, in units of the cell vectors:
Ce 0.0660 0.0483 0.7376  1 Ce 3.35, 8 Y 3.51-3.66, 3 Pm 3.62-3.73
Ce 0.9340 0.9517 0.2624  1 Ce 3.35, 8 Y 3.51-3.66, 3 Pm 3.62-3.73
Pm 0.5369 0.1535 0.2529  8 Y 3.54-3.66, 1 Pm 3.56, 3 Ce 3.62-3.73
Pm 0.4631 0.8465 0.7471  8 Y 3.54-3.66, 1 Pm 3.56, 3 Ce 3.62-3.73
Y 0.7261 0.5480 0.2476  7 Y 3.51-3.71, 3 Ce 3.51-3.59, 2 Pm 3.57-3.61
Y 0.8677 0.6576 0.7555  4 Pm 3.55-3.66, 6 Y 3.55-3.71, 2 Ce 3.58-3.65
Y 0.3326 0.7477 0.2482  3 Ce 3.53-3.66, 7 Y 3.54-3.69, 2 Pm 3.54-3.66
Y 0.6674 0.2523 0.7518  3 Ce 3.53-3.66, 7 Y 3.54-3.69, 2 Pm 3.54-3.66
Y 0.2739 0.4520 0.7524  7 Y 3.51-3.71, 3 Ce 3.51-3.59, 2 Pm 3.57-3.61
Y 0.1323 0.3424 0.2445  4 Pm 3.55-3.66, 6 Y 3.55-3.71, 2 Ce 3.58-3.65

=====

The following is a PBE-GGA calculation of a relaxed structure of CePmY6, from Alexandria via LeMat-Bulk.

Properties
E above lowest polymorph (eV per formula unit): 0.00

Cell: 5.0646 5.0646 10.1226 Å, 90.00 90.00 90.00°
Last column: nearest neighbours and their distance in Å.
Sites, in units of the cell vectors:
Ce 0.0000 0.0000 0.5000  12 Y 3.56-3.58
Pm 0.0000 0.0000 0.0000  12 Y 3.58-3.60
Y 0.5000 0.5000 0.0000  4 Pm 3.58, 8 Y 3.60
Y 0.5000 0.5000 0.5000  8 Y 3.56, 4 Ce 3.58
Y 0.5000 0.0000 0.2530  8 Y 3.56-3.60, 2 Ce 3.56, 2 Pm 3.60
Y 0.5000 0.0000 0.7470  8 Y 3.56-3.60, 2 Ce 3.56, 2 Pm 3.60
Y 0.0000 0.5000 0.2530  8 Y 3.56-3.60, 2 Ce 3.56, 2 Pm 3.60
Y 0.0000 0.5000 0.7470  8 Y 3.56-3.60, 2 Ce 3.56, 2 Pm 3.60

=====

We obtain energy values of -5.10 -5.95 -6.13 eV/atom for the records listed above, in that order.
We obtain total magnetic moment values of 1.4 1.0 1.0 μB/f.u. for the records listed above, in that order.
We obtain DOS(E_F) values of 31.37 22.67 13.30 states/eV per cell for the records listed above, in that order.